[1]
This record from Alexandria describes crystalline Ba2LiMg6In at its relaxed geometry. The functional is GGA-PBE.

Summary:
* formation energy from the elements: -63 meV per atom
* DOS at the Fermi energy: 0.624 states/eV/atom

Structure (CIF):
```
data_Ba2LiMg6In
_chemical_formula_sum 'Ba12 Li6 Mg36 In6'
_symmetry_space_group_name_H-M 'R -3 m'
_symmetry_Int_Tables_number 166
_symmetry_space_group_name_Hall '-R 3 2"'
_cell_length_a 7.2775
_cell_length_b 7.2775
_cell_length_c 39.2661
_cell_angle_alpha 90.00
_cell_angle_beta 90.00
_cell_angle_gamma 120.00
loop_
_atom_site_label
_atom_site_type_symbol
_atom_site_fract_x
_atom_site_fract_y
_atom_site_fract_z
Ba1 Ba 0.0000 0.0000 0.1100
Ba2 Ba 0.0000 0.0000 0.2803
Li1 Li 0.0000 0.0000 0.0000
Li2 Li 0.0000 0.0000 0.5000
Mg1 Mg 0.0459 0.5230 0.3041
Mg2 Mg 0.0518 0.5259 0.8618
In1 In 0.0000 0.0000 0.4243
```



[2]
This record from Alexandria describes crystalline Ba2LiInN at its relaxed geometry. The functional is GGA-PBE.

Summary:
* DOS at the Fermi energy: 0.960 states/eV/atom
* E_form (uncorrected): -0.234 eV/atom

Structure (CIF):
```
data_Ba2LiInN
_chemical_formula_sum 'Ba2 Li1 In1 N1'
_symmetry_space_group_name_H-M 'P 4/m m m'
_symmetry_Int_Tables_number 123
_symmetry_space_group_name_Hall '-P 4 2'
_cell_length_a 5.846
_cell_length_b 5.846
_cell_length_c 4.163
_cell_angle_alpha 90.00
_cell_angle_beta 90.00
_cell_angle_gamma 90.00
loop_
_atom_site_label
_atom_site_type_symbol
_atom_site_fract_x
_atom_site_fract_y
_atom_site_fract_z
Ba1 Ba 0.000 0.500 0.000
Li1 Li 0.000 0.000 0.500
In1 In 0.500 0.500 0.500
N1 N 0.000 0.000 0.000
```



[3]
This record from Alexandria describes crystalline BaNa2LiIn at its relaxed geometry. The functional is GGA-PBE.

Summary:
* formation energy from the elements: -40 meV per atom
* DOS at the Fermi energy: 0.739 states/eV/atom

Structure (CIF):
```
data_BaNa2LiIn
_chemical_formula_sum 'Ba1 Na2 Li1 In1'
_symmetry_space_group_name_H-M 'P 4/m m m'
_symmetry_Int_Tables_number 123
_symmetry_space_group_name_Hall '-P 4 2'
_cell_length_a 5.541
_cell_length_b 5.541
_cell_length_c 5.474
_cell_angle_alpha 90.00
_cell_angle_beta 90.00
_cell_angle_gamma 90.00
loop_
_atom_site_label
_atom_site_type_symbol
_atom_site_fract_x
_atom_site_fract_y
_atom_site_fract_z
Ba1 Ba 0.000 0.000 0.000
Na1 Na 0.000 0.500 0.500
Li1 Li 0.500 0.500 0.500
In1 In 0.500 0.500 0.000
```



[4]
This record from Alexandria describes crystalline BaNaLiIn2 at its relaxed geometry. The functional is GGA-PBE.

Summary:
* formation energy from the elements: -166 meV per atom
* DOS at the Fermi energy: 0.661 states/eV/atom

Structure (CIF):
```
data_BaNaLiIn2
_chemical_formula_sum 'Ba1 Na1 Li1 In2'
_symmetry_space_group_name_H-M 'P 4/m m m'
_symmetry_Int_Tables_number 123
_symmetry_space_group_name_Hall '-P 4 2'
_cell_length_a 5.288
_cell_length_b 5.288
_cell_length_c 5.396
_cell_angle_alpha 90.00
_cell_angle_beta 90.00
_cell_angle_gamma 90.00
loop_
_atom_site_label
_atom_site_type_symbol
_atom_site_fract_x
_atom_site_fract_y
_atom_site_fract_z
Ba1 Ba 0.000 0.000 0.000
Na1 Na 0.500 0.500 0.000
Li1 Li 0.500 0.500 0.500
In1 In 0.000 0.500 0.500
```



[5]
This record from Alexandria describes crystalline BaLi2NbIn at its relaxed geometry. The functional is GGA-PBE.

Summary:
* formation energy from the elements: 543 meV per atom
* DOS at the Fermi energy: 0.934 states/eV/atom

Structure (CIF):
```
data_BaLi2NbIn
_chemical_formula_sum 'Ba1 Li2 Nb1 In1'
_symmetry_space_group_name_H-M 'P 4/m m m'
_symmetry_Int_Tables_number 123
_symmetry_space_group_name_Hall '-P 4 2'
_cell_length_a 5.377
_cell_length_b 5.377
_cell_length_c 5.550
_cell_angle_alpha 90.00
_cell_angle_beta 90.00
_cell_angle_gamma 90.00
loop_
_atom_site_label
_atom_site_type_symbol
_atom_site_fract_x
_atom_site_fract_y
_atom_site_fract_z
Ba1 Ba 0.000 0.000 0.000
Li1 Li 0.000 0.500 0.500
Nb1 Nb 0.500 0.500 0.500
In1 In 0.500 0.500 0.000
```



[6]
This record from Alexandria describes crystalline BaLiNdIn at its relaxed geometry. The functional is GGA-PBE.

Summary:
* formation energy from the elements: -138 meV per atom
* DOS at the Fermi energy: 1.112 states/eV/atom

Structure (CIF):
```
data_BaLiNdIn
_chemical_formula_sum 'Ba4 Li4 Nd4 In4'
_symmetry_space_group_name_H-M 'F -4 3 m'
_symmetry_Int_Tables_number 216
_symmetry_space_group_name_Hall 'F -4 2 3'
_cell_length_a 8.117
_cell_length_b 8.117
_cell_length_c 8.117
_cell_angle_alpha 90.00
_cell_angle_beta 90.00
_cell_angle_gamma 90.00
loop_
_atom_site_label
_atom_site_type_symbol
_atom_site_fract_x
_atom_site_fract_y
_atom_site_fract_z
Ba1 Ba 0.000 0.000 0.000
Li1 Li 0.250 0.250 0.250
Nd1 Nd 0.000 0.000 0.500
In1 In 0.250 0.250 0.750
```



no.,total DFT energy (no corrections) (eV/atom)
1,-1.869
2,-3.599
3,-1.883
4,-2.292
5,-3.169
6,-2.974